[1]
Li4Mg2Ag3 | PBE | optimized geometry

```
9
Lattice="4.025 0.000 0.000 0.000 6.477 0.402 -2.012 -2.575 5.894" Properties=species:S:1:pos:R:3 pbc="T T T"
Li 0.000 1.095 2.744
Li 2.012 2.806 3.552
Li 0.000 1.934 5.553
Li 2.012 1.968 0.743
Ag 0.000 3.731 1.637
Ag 2.012 0.171 4.659
Ag 0.000 0.000 0.000
Mg 0.000 -1.749 4.007
Mg 2.012 5.650 2.289
```

Results
ΔH_f (0 K) ... -183 meV per atom
Crystal system ... monoclinic
ΔE to the lowest computed polymorph ... 0.000 eV per atom


[2]
Li3Mg5Ag12 | PBE | optimized geometry

```
80
Lattice="-5.256 -7.313 -9.906 3.333 -8.024 10.186 -8.998 8.996 4.165" Properties=species:S:1:pos:R:3 pbc="T T T"
Li -3.817 -7.369 -3.089
Li -6.432 -5.153 -6.353
Li -3.224 -11.292 -0.508
Li -5.826 -3.203 -2.083
Li -4.489 -1.188 10.798
Li -7.104 1.028 7.534
Li -7.697 4.951 4.953
Li -6.650 -6.883 4.086
Li -5.095 -3.138 6.528
Li -8.784 -0.833 0.752
Li -2.137 -5.508 3.692
Li -4.272 0.542 0.359
Mg -8.659 -2.717 5.092
Mg -1.657 -1.674 3.623
Mg -1.531 -3.559 7.963
Mg -5.233 -7.126 0.498
Mg -9.390 -2.782 -3.518
Mg -2.263 -3.624 -0.648
Mg 0.478 -7.725 6.957
Mg -5.688 0.785 3.946
Mg -8.303 3.002 0.682
Mg -9.265 -4.667 0.822
Mg -2.833 0.486 7.175
Mg -5.461 -3.170 2.222
Mg -2.618 -9.342 3.762
Mg 1.667 -4.012 5.093
Mg 0.000 0.000 0.000
Mg -4.499 4.498 2.083
Mg -7.127 0.841 -2.871
Mg -0.962 -7.668 0.140
Mg -2.628 -3.656 -4.953
Mg -11.399 1.384 -2.512
Ag -3.825 -3.135 4.320
Ag -1.949 -13.008 1.566
Ag -4.889 0.976 8.790
Ag -5.889 -5.724 -1.721
Ag -5.204 -3.124 -4.552
Ag -5.033 -0.617 6.165
Ag -3.309 -8.746 -0.498
Ag -5.116 -0.759 -2.184
Ag -4.444 -9.820 -2.792
Ag -4.427 -5.596 2.579
Ag -4.083 -5.788 -5.600
Ag -0.579 -7.871 2.765
Ag -7.495 -4.624 -4.100
Ag -6.694 1.037 -0.253
Ag 1.469 -6.449 9.127
Ag -8.091 -1.317 -1.651
Ag -12.390 0.108 -4.682
Ag -7.124 4.632 2.491
Ag -6.032 -7.316 -4.346
Ag -3.612 2.098 2.812
Ag -3.797 -10.973 1.953
Ag -8.973 6.667 2.879
Ag 0.064 -6.118 4.819
Ag -5.718 -3.217 8.996
Ag -0.682 -4.987 10.098
Ag -6.651 -4.344 4.292
Ag -1.357 -5.296 1.277
Ag -2.830 -5.024 6.095
Ag -5.805 -5.582 6.629
Ag -6.478 3.479 7.237
Ag -7.613 2.405 4.942
Ag -3.448 -4.874 -2.734
Ag -2.107 0.091 1.622
Ag -10.239 -1.354 -5.654
Ag -11.002 -2.692 1.457
Ag -7.309 -8.439 1.633
Ag -8.815 -6.432 2.822
Ag -6.838 -0.553 10.044
Ag -7.097 -3.206 0.125
Ag -10.986 -0.223 -0.374
Ag -3.426 -1.717 8.544
Ag -4.271 -1.997 0.153
Ag -4.227 -7.378 4.698
Ag -10.343 1.530 1.680
Ag -9.564 -1.045 3.168
Ag -7.474 -1.467 7.179
Ag 0.081 -3.649 2.988
Ag -6.495 -0.745 1.866
```

Results
ΔH_f (0 K) ... 234 meV per atom
Crystal system ... cubic


[3]
LiMg7Ag4 | PBE | optimized geometry

```
12
Lattice="-3.976 -2.195 1.998 2.181 -3.375 6.794 -2.487 3.957 5.558" Properties=species:S:1:pos:R:3 pbc="T T T"
Mg -1.988 -1.097 0.999
Mg 0.354 -1.128 5.627
Mg -4.637 -0.484 8.723
Mg -2.582 -2.567 10.523
Mg -2.838 -1.752 4.749
Mg -1.444 0.140 9.601
Mg -1.700 0.955 3.827
Ag -0.543 -1.812 3.089
Ag -3.739 0.199 11.260
Ag -3.225 0.397 6.339
Ag -1.057 -2.009 8.011
Li 0.000 0.000 0.000
```

Results
ΔH_f (0 K) ... -62 meV per atom
Crystal system ... monoclinic


[4]
Li12Mg2Ag5 | PBE | optimized geometry

```
19
Lattice="8.017 0.000 0.000 -4.009 5.955 -1.613 0.000 -3.815 8.441" Properties=species:S:1:pos:R:3 pbc="T T T"
Li 6.466 -0.167 2.734
Li -2.457 2.308 4.095
Li 2.457 2.308 4.095
Li 1.551 -0.167 2.734
Li 0.000 1.489 -0.304
Li 4.009 -0.472 4.392
Li -2.440 2.916 0.627
Li 0.000 2.612 2.436
Li 4.009 0.652 7.133
Li 2.440 2.916 0.627
Li 6.449 -0.776 6.202
Li 1.569 -0.776 6.202
Ag 0.000 4.244 0.112
Ag 4.009 -2.104 6.717
Ag 4.009 1.192 2.123
Ag 0.000 0.948 4.706
Ag 0.000 -1.907 4.221
Mg 5.523 0.000 0.000
Mg 2.494 0.000 0.000
```

Results
ΔH_f (0 K) ... -117 meV per atom
Crystal system ... monoclinic
ΔE to the lowest computed polymorph ... 0.000 eV per atom


[5]
Li6Mg2Ag3 | PBE | optimized geometry

```
11
Lattice="-1.999 2.551 -1.935 -3.027 -0.764 2.121 6.473 9.273 9.220" Properties=species:S:1:pos:R:3 pbc="T T T"
Li 1.937 4.972 4.555
Li 0.303 4.620 2.096
Li -0.490 6.088 4.852
Li 1.144 6.441 7.311
Li -0.211 2.962 4.124
Li 1.658 8.098 5.283
Mg 3.512 9.018 8.261
Mg -2.066 2.042 1.145
Ag 0.678 9.086 7.598
Ag 0.769 1.974 1.808
Ag 0.000 0.000 0.000
```

Results
ΔH_f (0 K) ... -45 meV per atom
Crystal system ... tetragonal
ΔE to the lowest computed polymorph ... 0.039 eV per atom


[6]
Li2MgAg6 | PBE | optimized geometry

```
18
Lattice="0.564 -6.306 -3.009 3.831 -0.754 2.299 -5.890 4.310 11.229" Properties=species:S:1:pos:R:3 pbc="T T T"
Li -1.350 -1.585 1.730
Li 0.603 0.210 3.530
Li -0.145 -1.165 8.789
Li -2.098 -2.961 6.989
Ag 3.229 -4.197 2.172
Ag 1.378 -1.625 1.636
Ag -1.188 -0.499 6.280
Ag -2.125 0.249 3.624
Ag 0.418 -4.239 2.377
Ag -2.873 -1.126 8.883
Ag -1.913 1.488 8.141
Ag -1.619 2.679 12.507
Ag -4.724 1.446 8.347
Ag -0.307 -2.251 4.239
Ag 0.124 -5.430 -1.988
Ag 0.630 -3.000 6.895
Mg 2.197 -3.530 -0.355
Mg -2.945 2.155 5.614
```

Results
ΔH_f (0 K) ... -134 meV per atom
Crystal system ... monoclinic
ΔE to the lowest computed polymorph ... 0.000 eV per atom


[7]
Li16Mg7Ag6 | PBE | optimized geometry

```
29
Lattice="9.217 1.510 4.087 4.496 8.186 4.087 0.000 0.000 8.173" Properties=species:S:1:pos:R:3 pbc="T T T"
Li 5.276 3.730 6.281
Li 1.707 1.207 2.037
Li 5.276 3.730 10.065
Li 6.369 2.154 8.173
Li 6.328 1.974 4.087
Li 9.559 4.410 8.173
Li 7.385 7.722 12.260
Li 12.006 8.489 10.210
Li 1.707 1.207 6.136
Li 4.154 5.287 8.173
Li 8.437 5.966 10.065
Li 3.970 5.308 4.087
Li 8.437 5.966 6.281
Li 7.344 7.542 8.173
Li 12.006 8.489 14.310
Li 9.742 4.388 12.260
Ag 8.050 3.160 6.111
Ag 5.663 6.536 6.111
Ag 8.050 3.160 10.236
Ag 3.427 2.423 8.173
Ag 10.286 7.273 8.173
Ag 5.662 6.536 10.236
Mg 4.608 0.755 6.130
Mg 2.248 4.093 6.130
Mg 6.856 4.848 4.087
Mg 0.000 0.000 4.087
Mg 4.608 0.755 2.043
Mg 0.000 0.000 0.000
Mg 2.248 4.093 2.043
```

Results
ΔH_f (0 K) ... -77 meV per atom
Crystal system ... orthorhombic


[8]
Li5Mg4Ag2 | PBE | optimized geometry

```
11
Lattice="-0.380 -0.606 -3.249 7.346 1.481 -1.136 -3.186 -8.778 3.713" Properties=species:S:1:pos:R:3 pbc="T T T"
Li -0.430 -2.311 0.481
Li 4.518 -2.975 0.026
Li 4.209 -5.593 -1.153
Li -0.738 -4.929 -0.698
Li -0.190 -0.303 -1.625
Mg 1.892 -5.062 0.723
Mg 1.368 -7.869 -0.396
Mg 2.411 -0.035 -0.276
Mg 1.887 -2.841 -1.394
Ag 4.481 -1.118 -2.019
Ag -0.702 -6.785 1.347
```

Results
ΔH_f (0 K) ... -112 meV per atom
Crystal system ... monoclinic
ΔE to the lowest computed polymorph ... 0.000 eV per atom


[9]
Li7MgAg4 | PBE | optimized geometry

```
12
Lattice="-1.972 -2.103 3.955 3.790 -6.267 1.586 4.193 0.781 5.534" Properties=species:S:1:pos:R:3 pbc="T T T"
Mg 0.000 0.000 0.000
Ag 2.591 -2.435 6.054
Ag 0.806 -2.794 1.944
Ag 5.205 -4.794 9.131
Ag 3.420 -5.153 5.021
Li 0.615 -3.267 4.626
Li 4.035 -6.787 7.488
Li 5.396 -4.322 6.449
Li 2.804 -4.004 8.354
Li 1.976 -0.802 3.587
Li -0.986 -1.052 1.977
Li 3.207 -3.584 2.721
```

Results
ΔH_f (0 K) ... -59 meV per atom
Crystal system ... monoclinic


[10]
LiMg2Ag | PBE | optimized geometry

```
4
Lattice="5.328 -0.008 0.000 2.171 4.866 0.000 -3.750 -2.429 2.904" Properties=species:S:1:pos:R:3 pbc="T T T"
Mg 0.000 0.000 0.000
Mg 1.085 2.433 1.452
Li 2.664 -0.004 1.452
Ag 3.750 2.429 0.000
```

Results
ΔH_f (0 K) ... -165 meV per atom
Crystal system ... tetragonal
ΔE to the lowest computed polymorph ... 0.046 eV per atom


[11]
LiMgAg | PBE | optimized geometry

```
6
Lattice="3.044 0.000 0.000 -1.522 5.045 0.203 0.000 -1.678 7.632" Properties=species:S:1:pos:R:3 pbc="T T T"
Li 1.522 0.446 4.621
Li 0.000 2.922 3.215
Mg 1.522 0.667 1.587
Mg 0.000 2.700 6.249
Ag 0.000 -0.107 6.902
Ag 1.522 3.475 0.934
```

Results
ΔH_f (0 K) ... -109 meV per atom
Crystal system ... monoclinic
ΔE to the lowest computed polymorph ... 0.095 eV per atom


[12]
Li4MgAg4 | PBE | optimized geometry

```
9
Lattice="-3.074 -0.566 2.665 0.483 -5.974 2.452 2.001 1.865 5.870" Properties=species:S:1:pos:R:3 pbc="T T T"
Ag -0.734 0.854 5.665
Ag -0.852 -2.211 1.712
Ag 0.263 -2.464 9.275
Ag 0.145 -5.529 5.322
Li -2.095 -3.982 6.233
Li -1.260 -1.723 4.511
Li 1.505 -0.693 4.754
Li 0.670 -2.952 6.476
Mg 0.000 0.000 0.000
```

Results
ΔH_f (0 K) ... -176 meV per atom
Crystal system ... tetragonal
ΔE to the lowest computed polymorph ... 0.000 eV per atom


[13]
Li3Mg10Ag3 | PBE | optimized geometry

```
16
Lattice="-4.246 2.045 3.122 -4.324 1.375 -6.780 -0.620 -7.166 3.850" Properties=species:S:1:pos:R:3 pbc="T T T"
Li -2.379 -1.937 3.151
Li -5.025 -2.377 -0.159
Li -3.909 1.590 -1.239
Mg -2.902 -3.814 1.077
Mg -3.747 -4.389 -2.221
Mg -5.052 -2.779 2.658
Mg -3.275 -0.327 0.879
Mg -6.287 0.068 -0.885
Mg -1.046 0.333 -1.641
Mg -0.150 -1.734 0.932
Mg -5.439 2.077 -3.639
Mg -2.598 -4.474 4.514
Mg -4.137 -0.967 -2.466
Ag -2.603 0.828 -4.082
Ag -1.967 -2.304 -1.166
Ag -0.373 -4.314 2.318
```

Results
ΔH_f (0 K) ... -94 meV per atom
Crystal system ... hexagonal


[14]
LiMg2Ag4 | PBE | optimized geometry

```
7
Lattice="4.543 0.000 0.000 0.000 4.543 0.000 2.271 2.271 6.964" Properties=species:S:1:pos:R:3 pbc="T T T"
Ag 2.271 2.271 4.516
Ag 4.543 4.543 2.448
Ag 0.000 2.271 0.000
Ag 2.271 0.000 0.000
Mg 4.543 4.543 5.161
Mg 2.271 2.271 1.802
Li 0.000 0.000 0.000
```

Results
ΔH_f (0 K) ... 175 meV per atom
Crystal system ... tetragonal
ΔE to the lowest computed polymorph ... 0.282 eV per atom


[15]
Li2MgAg | PBE | optimized geometry

```
4
Lattice="9.564 0.002 0.001 9.078 3.010 0.001 9.078 1.467 2.629" Properties=species:S:1:pos:R:3 pbc="T T T"
Mg 6.930 1.120 0.658
Li 13.644 2.204 1.295
Li 0.216 0.035 0.020
Ag 20.790 3.359 1.973
```

Results
ΔH_f (0 K) ... -92 meV per atom
Crystal system ... trigonal


[16]
Li3Mg4Ag2 | PBE | optimized geometry

```
9
Lattice="4.701 0.001 0.000 2.351 4.047 0.515 -0.001 -1.091 8.728" Properties=species:S:1:pos:R:3 pbc="T T T"
Mg 4.700 1.735 8.083
Mg 4.700 -0.730 5.884
Mg 2.351 1.223 1.159
Mg 2.351 3.688 3.358
Li 4.700 2.108 5.071
Li 0.000 0.000 0.000
Li 2.350 0.849 4.171
Ag 4.701 2.457 2.245
Ag 2.349 0.501 6.997
```

Results
ΔH_f (0 K) ... -184 meV per atom
Crystal system ... monoclinic


[17]
LiMg5Ag4 | PBE | optimized geometry

```
10
Lattice="3.389 0.000 0.000 0.000 3.389 0.000 0.000 0.000 16.276" Properties=species:S:1:pos:R:3 pbc="T T T"
Ag 0.000 0.000 6.515
Ag 0.000 0.000 9.761
Ag 0.000 0.000 13.013
Ag 0.000 0.000 3.263
Mg 1.694 1.694 8.138
Mg 1.694 1.694 1.697
Mg 1.694 1.694 11.385
Mg 1.694 1.694 4.891
Mg 1.694 1.694 14.579
Li 0.000 0.000 0.000
```

Results
ΔH_f (0 K) ... -214 meV per atom
Crystal system ... tetragonal


[18]
LiMg4Ag3 | PBE | optimized geometry

```
8
Lattice="4.522 0.000 1.335 2.064 4.023 1.335 0.041 0.025 8.188" Properties=species:S:1:pos:R:3 pbc="T T T"
Mg 2.515 1.536 8.135
Mg 0.862 0.527 5.406
Mg 5.765 3.522 5.451
Mg 4.112 2.512 2.723
Ag 3.313 2.024 5.429
Ag 1.676 1.024 2.650
Ag 4.951 3.025 8.208
Li 0.000 0.000 0.000
```

Results
ΔH_f (0 K) ... -225 meV per atom
Crystal system ... trigonal


Table of calculated total energy (eV per formula unit), in record order: -21.041, -43.251, -25.220, -42.644, -23.720, -23.733, -61.128, -22.882, -27.103, -8.612, -6.688, -22.237, -31.750, -15.282, -8.643, -19.477, -23.427, -18.642